(1)
Density functional theory data (PBE) for a relaxed Y2NbSnC crystal.

Calculated values
Calculated volume   105.37 Å³/f.u.
Formation energy from the elements   -452 meV/atom

a b c (Å): 4.9366 4.9366 4.3236
angles (deg): 90.00 90.00 90.00
Space group P4/mmm (No. 123)
Inequivalent atoms, fractional coordinates:
Y1 0.0000 0.5000 0.0000 (multiplicity 2)
Nb1 0.0000 0.0000 0.5000 (multiplicity 1)
Sn1 0.5000 0.5000 0.5000 (multiplicity 1)
C1 0.0000 0.0000 0.0000 (multiplicity 1)

---

(2)
Density functional theory data (PBE) for a relaxed Tl2SnPb2 crystal.

Calculated values
Relative energy among the computed polymorphs   0 meV/atom
Calculated volume   153.20 Å³/f.u.
Formation energy from the elements   11 meV/atom

a b c (Å): 3.5375 6.0749 7.7382
angles (deg): 76.29 77.49 73.93
Space group P-1 (No. 2)
Inequivalent atoms, fractional coordinates:
Tl1 0.0981 0.1996 0.1073 (multiplicity 2)
Sn1 0.5000 0.0000 0.5000 (multiplicity 1)
Pb1 0.2935 0.6040 0.3099 (multiplicity 2)

---

(3)
Density functional theory data (PBE) for a relaxed Li4SnS4 crystal.

Calculated values
Formation energy without anion corrections   -959 meV per atom
Relative energy among the computed polymorphs   94 meV/atom
Calculated volume   199.77 Å³/f.u.

a b c (Å): 6.0662 6.0662 10.8574
angles (deg): 90.00 90.00 90.00
Space group I-42m (No. 121)
Inequivalent atoms, fractional coordinates:
Li1 0.0000 0.0000 0.2150 (multiplicity 4)
Li2 0.0000 0.5000 0.0000 (multiplicity 4)
Sn1 0.0000 0.0000 0.5000 (multiplicity 2)
S1 0.2260 0.2260 0.6289 (multiplicity 8)

---

- Number 3 is which compound?
  Li4SnS4